Record 1
DFT (GGA-PBE) results for a relaxed Sr2CaTlH crystal.

abc: 5.3311 5.3311 5.0863
angles: 90.00 90.00 90.00
Atoms (fractional coordinates):
Sr  0.0000  0.5000  0.0000
Sr  0.5000  0.0000  0.0000
Ca  0.0000  0.0000  0.5000
Tl  0.5000  0.5000  0.5000
H  0.0000  0.0000  0.0000

---

Record 2
DFT (GGA-PBE) results for a relaxed SrCa2TlH2 crystal.

abc: 7.2525 5.5075 7.6836
angles: 90.00 106.90 90.00
Atoms (fractional coordinates):
Sr  0.1699  0.2500  0.4248
Sr  0.8301  0.7500  0.5752
Ca  0.1354  0.2500  0.9026
Ca  0.3857  0.7500  0.7690
Ca  0.6143  0.2500  0.2310
Ca  0.8646  0.7500  0.0974
Tl  0.3465  0.7500  0.1987
Tl  0.6535  0.2500  0.8013
H  0.1289  0.5042  0.6719
H  0.1289  0.9958  0.6719
H  0.8711  0.0042  0.3281
H  0.8711  0.4958  0.3281

---

Record 3
DFT (GGA-PBE) results for a relaxed SrCaVH2 crystal.

abc: 4.4278 4.4278 5.5110
angles: 90.00 90.00 90.00
Atoms (fractional coordinates):
Sr  0.0000  0.0000  0.0000
Ca  0.5000  0.5000  0.0000
V  0.5000  0.5000  0.5000
H  0.0000  0.5000  0.5000
H  0.5000  0.0000  0.5000

---

Record 4
DFT (GGA-PBE) results for a relaxed SrCaY2H crystal.

abc: 5.0965 5.0965 5.6192
angles: 90.00 90.00 90.00
Atoms (fractional coordinates):
Sr  0.0000  0.0000  0.0000
Ca  0.5000  0.5000  0.0000
Y  0.0000  0.5000  0.5000
Y  0.5000  0.0000  0.5000
H  0.5000  0.5000  0.5000

---

Record 5
DFT (GGA-PBE) results for a relaxed SrCaY2H crystal.

abc: 5.0985 5.0985 5.6674
angles: 90.00 90.00 90.00
Atoms (fractional coordinates):
Sr  0.0000  0.0000  0.0000
Ca  0.5000  0.5000  0.0000
Y  0.0000  0.5000  0.5000
Y  0.5000  0.0000  0.5000
H  0.0000  0.0000  0.5000

---

Record 6
DFT (GGA-PBE) results for a relaxed SrCa2ZnH crystal.

abc: 5.0017 5.0017 5.2906
angles: 90.00 90.00 90.00
Atoms (fractional coordinates):
Sr  0.0000  0.0000  0.0000
Ca  0.0000  0.5000  0.5000
Ca  0.5000  0.0000  0.5000
Zn  0.5000  0.5000  0.0000
H  0.0000  0.0000  0.5000

---

Record 7
DFT (GGA-PBE) results for a relaxed SrCa2ZnH crystal.

abc: 7.2189 7.2189 9.5672
angles: 90.00 90.00 144.43
Atoms (fractional coordinates):
Sr  0.0540  0.9460  0.7500
Sr  0.9460  0.0540  0.2500
Ca  0.3440  0.6560  0.5583
Ca  0.3440  0.6560  0.9417
Ca  0.6560  0.3440  0.0583
Ca  0.6560  0.3440  0.4417
Zn  0.2472  0.7528  0.2500
Zn  0.7528  0.2472  0.7500
H  0.5000  0.5000  0.0000
H  0.5000  0.5000  0.5000

---

Record 8
DFT (GGA-PBE) results for a relaxed SrCaZn2H8 crystal.

abc: 4.8113 4.8113 7.7295
angles: 90.00 90.00 120.00
Atoms (fractional coordinates):
Sr  0.0000  0.0000  0.0000
Ca  0.0000  0.0000  0.5000
Zn  0.3333  0.6667  0.7646
Zn  0.6667  0.3333  0.2354
H  0.0213  0.3265  0.7084
H  0.3051  0.9787  0.7084
H  0.3265  0.3051  0.2916
H  0.3333  0.6667  0.9777
H  0.6667  0.3333  0.0223
H  0.6735  0.6949  0.7084
H  0.6949  0.0213  0.2916
H  0.9787  0.6735  0.2916

---

Record 9
DFT (GGA-PBE) results for a relaxed Ca3TaH crystal.

abc: 4.9541 4.9541 4.9541
angles: 90.00 90.00 90.00
Atoms (fractional coordinates):
Ca  0.0000  0.0000  0.5000
Ca  0.0000  0.5000  0.0000
Ca  0.5000  0.0000  0.0000
Ta  0.5000  0.5000  0.5000
H  0.0000  0.0000  0.0000

---

Record 10
DFT (GGA-PBE) results for a relaxed Ca3TaH crystal.

abc: 5.6844 5.6844 5.6844
angles: 90.00 90.00 90.00
Atoms (fractional coordinates):
Ca  0.0000  0.0000  0.5000
Ca  0.0000  0.5000  0.0000
Ca  0.5000  0.0000  0.0000
Ta  0.0000  0.0000  0.0000
H  0.5000  0.5000  0.5000

---

Record 11
DFT (GGA-PBE) results for a relaxed CaTa3H crystal.

abc: 4.7788 4.7788 4.7788
angles: 90.00 90.00 90.00
Atoms (fractional coordinates):
Ca  0.0000  0.0000  0.0000
Ta  0.0000  0.0000  0.5000
Ta  0.0000  0.5000  0.0000
Ta  0.5000  0.0000  0.0000
H  0.5000  0.5000  0.5000

---

Record 12
DFT (GGA-PBE) results for a relaxed Ca2TaH crystal.

abc: 6.1125 6.1125 6.1125
angles: 112.91 112.91 102.80
Atoms (fractional coordinates):
Ca  0.9997  0.6250  0.8747
Ca  0.3750  0.2497  0.3747
Ca  0.7503  0.1250  0.1253
Ca  0.8750  0.0003  0.6253
Ta  0.2500  0.7500  0.5000
Ta  0.5000  0.5000  0.0000
H  0.0000  0.0000  0.0000
H  0.7500  0.2500  0.5000

---

no.,DFT total energy (Ry per atom)
1,-0.185
2,-0.213
3,-0.224
4,-0.292
5,-0.293
6,-0.162
7,-0.164
8,-0.222
9,-0.280
10,-0.208
11,-0.357
12,-0.301